[1]
CaMnBr2: optimized geometry, PBE-GGA.

Distance to the lowest polymorph of the same formula: 40 meV per atom
SG: No. 6

```
data_CaMnBr2
_cell_length_a 3.695
_cell_length_b 3.710
_cell_length_c 9.329
_cell_angle_alpha 90.00
_cell_angle_beta 101.31
_cell_angle_gamma 90.00
_space_group_name_H-M_alt 'P 1'
_space_group_IT_number 1
loop_
_space_group_symop_operation_xyz
'x,y,z'
loop_
_atom_site_label
_atom_site_type_symbol
_atom_site_fract_x
_atom_site_fract_y
_atom_site_fract_z
Ca1 Ca 0.000 0.000 0.000
Mn1 Mn 0.631 0.500 0.265
Br1 Br 0.420 0.500 0.838
Br2 Br 0.727 0.000 0.454
```



[2]
Ca2MnBr2: optimized geometry, PBE-GGA.

Distance to the lowest polymorph of the same formula: 0 meV per atom
SG: No. 127

```
data_Ca2MnBr2
_cell_length_a 8.564
_cell_length_b 8.564
_cell_length_c 3.609
_cell_angle_alpha 90.00
_cell_angle_beta 90.00
_cell_angle_gamma 90.00
_space_group_name_H-M_alt 'P 1'
_space_group_IT_number 1
loop_
_space_group_symop_operation_xyz
'x,y,z'
loop_
_atom_site_label
_atom_site_type_symbol
_atom_site_fract_x
_atom_site_fract_y
_atom_site_fract_z
Ca1 Ca 0.173 0.327 0.000
Ca2 Ca 0.327 0.827 0.000
Ca3 Ca 0.673 0.173 0.000
Ca4 Ca 0.827 0.673 0.000
Mn1 Mn 0.000 0.000 0.500
Mn2 Mn 0.500 0.500 0.500
Br1 Br 0.133 0.633 0.500
Br2 Br 0.367 0.133 0.500
Br3 Br 0.633 0.867 0.500
Br4 Br 0.867 0.367 0.500
```



[3]
Ca2MnBr: optimized geometry, PBE-GGA.

Distance to the lowest polymorph of the same formula: 240 meV per atom
SG: No. 160

```
data_Ca2MnBr
_cell_length_a 3.804
_cell_length_b 3.804
_cell_length_c 30.169
_cell_angle_alpha 90.00
_cell_angle_beta 90.00
_cell_angle_gamma 120.00
_space_group_name_H-M_alt 'P 1'
_space_group_IT_number 1
loop_
_space_group_symop_operation_xyz
'x,y,z'
loop_
_atom_site_label
_atom_site_type_symbol
_atom_site_fract_x
_atom_site_fract_y
_atom_site_fract_z
Ca1 Ca 0.000 0.000 0.000
Ca2 Ca 0.000 0.000 0.226
Ca3 Ca 0.333 0.667 0.667
Ca4 Ca 0.333 0.667 0.893
Ca5 Ca 0.667 0.333 0.333
Ca6 Ca 0.667 0.333 0.560
Mn1 Mn 0.000 0.000 0.745
Mn2 Mn 0.333 0.667 0.412
Mn3 Mn 0.667 0.333 0.078
Br1 Br 0.000 0.000 0.493
Br2 Br 0.333 0.667 0.160
Br3 Br 0.667 0.333 0.826
```



[4]
CaMn2Br: optimized geometry, PBE-GGA.

Distance to the lowest polymorph of the same formula: 167 meV per atom
SG: No. 139

```
data_CaMn2Br
_cell_length_a 4.004
_cell_length_b 4.004
_cell_length_c 11.937
_cell_angle_alpha 90.00
_cell_angle_beta 90.00
_cell_angle_gamma 90.00
_space_group_name_H-M_alt 'P 1'
_space_group_IT_number 1
loop_
_space_group_symop_operation_xyz
'x,y,z'
loop_
_atom_site_label
_atom_site_type_symbol
_atom_site_fract_x
_atom_site_fract_y
_atom_site_fract_z
Ca1 Ca 0.000 0.000 0.000
Ca2 Ca 0.500 0.500 0.500
Mn1 Mn 0.000 0.500 0.250
Mn2 Mn 0.000 0.500 0.750
Mn3 Mn 0.500 0.000 0.250
Mn4 Mn 0.500 0.000 0.750
Br1 Br 0.000 0.000 0.500
Br2 Br 0.500 0.500 0.000
```



[5]
Ca4MnBr: optimized geometry, PBE-GGA.

SG: No. 216

```
data_Ca4MnBr
_cell_length_a 6.910
_cell_length_b 6.910
_cell_length_c 6.910
_cell_angle_alpha 60.00
_cell_angle_beta 60.00
_cell_angle_gamma 60.00
_space_group_name_H-M_alt 'P 1'
_space_group_IT_number 1
loop_
_space_group_symop_operation_xyz
'x,y,z'
loop_
_atom_site_label
_atom_site_type_symbol
_atom_site_fract_x
_atom_site_fract_y
_atom_site_fract_z
Ca1 Ca 0.124 0.124 0.124
Ca2 Ca 0.124 0.124 0.629
Ca3 Ca 0.124 0.629 0.124
Ca4 Ca 0.629 0.124 0.124
Mn1 Mn 0.750 0.750 0.750
Br1 Br 0.500 0.500 0.500
```



[6]
Ca2MnBr: optimized geometry, PBE-GGA.

Distance to the lowest polymorph of the same formula: 16 meV per atom
SG: No. 65

```
data_Ca2MnBr
_cell_length_a 5.145
_cell_length_b 5.173
_cell_length_c 8.190
_cell_angle_alpha 90.00
_cell_angle_beta 90.00
_cell_angle_gamma 90.00
_space_group_name_H-M_alt 'P 1'
_space_group_IT_number 1
loop_
_space_group_symop_operation_xyz
'x,y,z'
loop_
_atom_site_label
_atom_site_type_symbol
_atom_site_fract_x
_atom_site_fract_y
_atom_site_fract_z
Ca1 Ca 0.000 0.000 0.229
Ca2 Ca 0.000 0.000 0.771
Ca3 Ca 0.500 0.500 0.229
Ca4 Ca 0.500 0.500 0.771
Mn1 Mn 0.000 0.500 0.000
Mn2 Mn 0.500 0.000 0.000
Br1 Br 0.000 0.500 0.500
Br2 Br 0.500 0.000 0.500
```



We obtain electronic total energy values of -4.337, -3.852, -3.847, -5.298, -2.747, -4.071 eV per atom for the records listed above, in that order.
We obtain energy relative to the elements, uncorrected values of -0.708, -0.548, -0.136, 0.206, 0.394, -0.359 eV/atom for the records listed above, in that order.
We obtain Fermi-level density of states values of 1.348, 5.258, 3.959, 4.571, 7.077, 3.266 states/eV/f.u. for the records listed above, in that order.